No. 1
CaScP2O8, optimized geometry, DFT PBE; density of states at the Fermi level = 8.036 states/eV per cell; symmetry = P-3m1
1.0
5.263 0.000 0.000
-2.631 4.558 0.000
0.000 0.000 6.782
Ca Sc P O
1 1 2 8
direct
0.000 0.000 0.000
0.000 0.000 0.500
0.667 0.333 0.225
0.333 0.667 0.775
0.333 0.667 0.002
0.346 0.173 0.299
0.827 0.172 0.299
0.667 0.333 0.998
0.173 0.828 0.701
0.654 0.827 0.701
0.172 0.346 0.701
0.828 0.654 0.299

***

No. 2
CaScP2O, optimized geometry, DFT PBE; density of states at the Fermi level = 5.253 states/eV per cell; symmetry = P4/mmm; energy relative to the lowest polymorph listed for this composition = 0 meV per atom
1.0
5.250 0.000 0.000
0.000 5.250 0.000
0.000 0.000 3.869
Sc P Ca O
1 2 1 1
direct
0.000 0.000 0.000
0.000 0.500 0.000
0.500 0.000 0.000
0.500 0.500 0.500
0.000 0.000 0.500

***

No. 3
CaScP2O, optimized geometry, DFT PBE; density of states at the Fermi level = 4.464 states/eV per cell; symmetry = P4/mmm; energy relative to the lowest polymorph listed for this composition = 914 meV per atom
1.0
5.118 0.000 0.000
0.000 5.118 0.000
0.000 0.000 4.144
Sc P Ca O
1 2 1 1
direct
0.500 0.500 0.500
0.000 0.500 0.000
0.500 0.000 0.000
0.000 0.000 0.000
0.000 0.000 0.500

***

No. 4
CaP2SeO8, optimized geometry, DFT PBE; density of states at the Fermi level = 0.000 states/eV per cell; symmetry = R32
1.0
4.724 0.000 0.000
2.362 4.091 0.000
2.362 1.364 7.577
Ca P Se O
1 2 1 8
direct
0.000 0.000 0.000
0.752 0.752 0.743
0.248 0.248 0.257
0.500 0.500 0.500
0.685 0.685 0.945
0.315 0.315 0.055
0.531 0.242 0.322
0.758 0.469 0.678
0.095 0.758 0.678
0.242 0.905 0.322
0.905 0.531 0.322
0.469 0.095 0.678

***

No. 5
CaPSeO2, optimized geometry, DFT PBE; density of states at the Fermi level = 3.509 states/eV per cell; symmetry = P4/mmm; energy relative to the lowest polymorph listed for this composition = 602 meV per atom
1.0
4.115 0.000 0.000
0.000 4.115 0.000
0.000 0.000 7.602
P Ca O Se
1 1 2 1
direct
0.000 0.000 0.500
0.000 0.000 0.000
0.000 0.500 0.000
0.500 0.000 0.000
0.500 0.500 0.500

***

No. 6
CaPSeO2, optimized geometry, DFT PBE; density of states at the Fermi level = 3.842 states/eV per cell; symmetry = P4/mmm; energy relative to the lowest polymorph listed for this composition = 0 meV per atom
1.0
4.057 0.000 0.000
0.000 4.057 0.000
0.000 0.000 4.816
P Ca O Se
1 1 2 1
direct
0.000 0.000 0.500
0.500 0.500 0.500
0.000 0.500 0.000
0.500 0.000 0.000
0.000 0.000 0.000

***

No. 7
CaP2SeO, optimized geometry, DFT PBE; density of states at the Fermi level = 5.482 states/eV per cell; symmetry = P4/mmm; energy relative to the lowest polymorph listed for this composition = 0 meV per atom
1.0
-0.815 0.551 4.964
1.863 -4.634 0.820
3.471 1.467 0.407
P Ca O Se
2 1 1 1
direct
0.000 0.500 0.000
0.500 0.000 0.000
0.500 0.500 0.500
0.000 0.000 0.500
0.000 0.000 0.000

***

No. 8
CaP2SeO, optimized geometry, DFT PBE; density of states at the Fermi level = 5.782 states/eV per cell; symmetry = P4/mmm; energy relative to the lowest polymorph listed for this composition = 704 meV per atom
1.0
-2.375 -2.015 -4.374
-0.154 -4.843 2.314
-3.650 0.871 1.581
P Ca O Se
2 1 1 1
direct
0.000 0.500 0.000
0.500 0.000 0.000
0.000 0.000 0.000
0.000 0.000 0.500
0.500 0.500 0.500

***

Number 1: raw formation energy -2597 meV/atom. Number 2: raw formation energy -923 meV/atom. Number 3: raw formation energy -9 meV/atom. Number 4: raw formation energy -1826 meV/atom. Number 5: raw formation energy 43 meV/atom. Number 6: raw formation energy -559 meV/atom. Number 7: raw formation energy -56 meV/atom. Number 8: raw formation energy 648 meV/atom.